Density functional theory data (PBE-GGA) for a relaxed Y2ZnHgTe crystal.

Geometry as CIF:
```
data_Y2ZnHgTe
_space_group_name_H-M_alt 'P 1'
_space_group_IT_number 1
_space_group_name_Hall 'P 1'
_cell_length_a 5.694
_cell_length_b 5.694
_cell_length_c 5.000
_cell_angle_alpha 90.00
_cell_angle_beta 90.00
_cell_angle_gamma 90.00
loop_
_atom_site_label
_atom_site_type_symbol
_atom_site_fract_x
_atom_site_fract_y
_atom_site_fract_z
_atom_site_occupancy
Y1 Y 0.000 0.500 0.000 1
Y2 Y 0.500 0.000 0.000 1
Zn1 Zn 0.000 0.000 0.500 1
Hg1 Hg 0.500 0.500 0.500 1
Te1 Te 0.000 0.000 0.000 1
```

D(E_F)   0.576 states/eV per atom
V   162.1 Å³ per cell
Space-group type   No. 123
Crystal system   tetragonal
Formation energy without anion corrections   0.071 eV per atom